Entry 1:
VASP calculation (PBE) on crystalline LaSnIr2N at its relaxed geometry.

a b c (Å): 4.2058 4.2058 10.1299
angles (deg): 90.00 90.00 90.00
Fractional coordinates of all 10 atoms:
Sn 0.0000 0.5000 0.8456
Sn 0.5000 0.0000 0.1544
Ir 0.5000 0.0000 0.4235
Ir 0.5000 0.5000 0.0000
Ir 0.0000 0.0000 0.0000
Ir 0.0000 0.5000 0.5765
La 0.0000 0.5000 0.3009
La 0.5000 0.0000 0.6991
N 0.0000 0.0000 0.5000
N 0.5000 0.5000 0.5000

Results
Calculated volume   179.2 Å³ per cell
DFT total energy   -72.646 eV for the cell shown

=====

Entry 2:
VASP calculation (PBE) on crystalline ZrI2 at its relaxed geometry.

a b c (Å): 9.1837 9.1837 9.1837
angles (deg): 60.00 60.00 60.00
Fractional coordinates of all 6 atoms:
I 0.3750 0.3750 0.3750
I 0.3750 0.3750 0.8750
I 0.3750 0.8750 0.3750
I 0.8750 0.3750 0.3750
Zr 0.5000 0.5000 0.5000
Zr 0.2500 0.2500 0.2500

Results
Calculated volume   547.7 Å³ per cell
DFT total energy   -24.315 eV for the cell shown

=====

Entry 3:
VASP calculation (PBE) on crystalline ScAl2Mo2 at its relaxed geometry.

a b c (Å): 3.9611 3.9611 6.5456
angles (deg): 107.61 107.61 90.00
Fractional coordinates of all 5 atoms:
Al 0.2500 0.7500 0.5000
Al 0.7500 0.2500 0.5000
Sc 0.0000 0.0000 0.0000
Mo 0.5963 0.5963 0.1926
Mo 0.4037 0.4037 0.8074

Results
Excess energy over the best structure of this formula in the dataset   344 meV/atom
Calculated volume   92.8 Å³ per cell
DFT total energy   -34.439 eV for the cell shown

=====

Question: What is the calculated volume in the second record?
Answer: 547.7 Å³ per cell